# PBE ZrAgMo2, optimized geometry
# **Space group**: No. 44
# **Distance to the lowest polymorph of the same formula**: 121 meV/atom
# **Calculated total energy**: -32.06 eV/f.u.
# **Density of states at the Fermi level**: 4.11 states/eV per cell
# **Formation energy**: 1.006 eV/f.u.
data_ZrAgMo2
_cell_length_a 5.2724
_cell_length_b 5.2724
_cell_length_c 5.2724
_cell_angle_alpha 141.18
_cell_angle_beta 127.22
_cell_angle_gamma 67.42
_space_group_name_H-M_alt 'P 1'
_space_group_IT_number 1
_space_group_name_Hall 'P 1'
loop_
_atom_site_label
_atom_site_type_symbol
_atom_site_fract_x
_atom_site_fract_y
_atom_site_fract_z
Ag1 Ag 0.2435 0.7435 0.5000
Zr1 Zr 0.5147 0.5147 0.0000
Mo1 Mo 0.7666 0.2666 0.5000
Mo2 Mo 0.9753 0.9753 0.0000